# 1
The following is a PBE-GGA calculation of a relaxed structure of Zr2PbBr, from the Alexandria database.

Fermi-level density of states, states/eV/f.u.: 2.6
SG: No. 65
Electronic total energy, eV/atom: -5.7974
Formation energy from raw total energies, eV/atom: -0.18
Size of the total moment, μB per atom: 0.000
V, A^3/atom: 23.96

Cell lengths 3.380, 3.380, 9.855 Å; angles 90.00, 90.00, 121.62 degrees
Atoms (fractional coordinates):
Zr  0.000  0.000  0.238
Zr  0.000  0.000  0.762
Pb  0.500  0.500  0.500
Br  0.500  0.500  0.000

=====

# 2
The following is a PBE-GGA calculation of a relaxed structure of ZrNbMo14, from the Alexandria database.

Fermi-level density of states, states/eV/f.u.: 8.3
SG: No. 65
Electronic total energy, eV/atom: -10.6871
Calculated formation energy, meV/atom: -46
Size of the total moment, μB per atom: 0.000
V, A^3/atom: 16.26

Cell lengths 5.530, 5.530, 9.032 Å; angles 90.00, 90.00, 109.59 degrees
Atoms (fractional coordinates):
Zr  0.000  0.000  0.000
Nb  0.500  0.500  0.000
Mo  0.000  0.000  0.500
Mo  0.000  0.500  0.000
Mo  0.000  0.500  0.500
Mo  0.250  0.750  0.253
Mo  0.250  0.750  0.747
Mo  0.252  0.252  0.258
Mo  0.252  0.252  0.742
Mo  0.500  0.000  0.000
Mo  0.500  0.000  0.500
Mo  0.500  0.500  0.500
Mo  0.748  0.748  0.258
Mo  0.748  0.748  0.742
Mo  0.750  0.250  0.253
Mo  0.750  0.250  0.747

=====

# 3
The following is a PBE-GGA calculation of a relaxed structure of AlSbPt6, from the Alexandria database.

Fermi-level density of states, states/eV/f.u.: 2.7
SG: No. 123
Electronic total energy, eV/atom: -5.9748
Formation energy from raw total energies, eV/atom: -0.46
Size of the total moment, μB per atom: 0.000
V, A^3/atom: 16.05

Cell lengths 3.999, 3.999, 8.026 Å; angles 90.00, 90.00, 90.00 degrees
Atoms (fractional coordinates):
Al  0.000  0.000  0.000
Sb  0.000  0.000  0.500
Pt  0.000  0.500  0.238
Pt  0.000  0.500  0.762
Pt  0.500  0.000  0.238
Pt  0.500  0.000  0.762
Pt  0.500  0.500  0.000
Pt  0.500  0.500  0.500

=====

# 4
The following is a PBE-GGA calculation of a relaxed structure of Mg2AlSe, from the Alexandria database.

Distance to the lowest polymorph of the same formula, kcal/mol of atoms: 3.70
Fermi-level density of states, states/eV/f.u.: 2.4
SG: No. 99
Electronic total energy, eV/atom: -2.8398
Formation energy from raw total energies, eV/atom: -0.24
Size of the total moment, μB per atom: 0.000
V, A^3/atom: 22.42

Cell lengths 3.760, 3.760, 6.343 Å; angles 90.00, 90.00, 90.00 degrees
Atoms (fractional coordinates):
Mg  0.000  0.000  0.000
Mg  0.500  0.500  0.341
Al  0.500  0.500  0.812
Se  0.000  0.000  0.422

=====

# 5
The following is a PBE-GGA calculation of a relaxed structure of H2WSe, from the Alexandria database.

Distance to the lowest polymorph of the same formula, kcal/mol of atoms: 17.82
Fermi-level density of states, states/eV/f.u.: 2.6
SG: No. 225
Electronic total energy, eV/atom: -4.5491
Size of the total moment, μB per atom: 0.230
V, A^3/atom: 10.26

Cell lengths 3.872, 3.872, 3.872 Å; angles 60.00, 60.00, 60.00 degrees
Atoms (fractional coordinates):
H  0.250  0.250  0.250
H  0.750  0.750  0.750
W  0.000  0.000  0.000
Se  0.500  0.500  0.500

=====

# 6
The following is a PBE-GGA calculation of a relaxed structure of TeHRh, from the Alexandria database.

Distance to the lowest polymorph of the same formula, kcal/mol of atoms: 4.52
Fermi-level density of states, states/eV/f.u.: 1.9
SG: No. 88
Electronic total energy, eV/atom: -4.5060
Size of the total moment, μB per atom: 0.000
V, A^3/atom: 16.47

Cell lengths 8.329, 8.329, 8.329 Å; angles 99.77, 99.77, 131.35 degrees
Atoms (fractional coordinates):
Te  0.109  0.108  0.728
Te  0.120  0.391  0.499
Te  0.120  0.620  0.228
Te  0.392  0.620  0.001
Te  0.608  0.380  0.999
Te  0.880  0.380  0.772
Te  0.880  0.609  0.501
Te  0.891  0.892  0.272
H  0.122  0.919  0.023
H  0.396  0.099  0.477
H  0.401  0.378  0.297
H  0.419  0.896  0.797
H  0.581  0.104  0.203
H  0.599  0.622  0.703
H  0.604  0.901  0.523
H  0.878  0.081  0.977
Rh  0.237  0.187  0.065
Rh  0.313  0.877  0.050
Rh  0.328  0.263  0.450
Rh  0.377  0.828  0.565
Rh  0.623  0.172  0.435
Rh  0.672  0.737  0.550
Rh  0.687  0.123  0.950
Rh  0.763  0.813  0.935

=====

# 7
The following is a PBE-GGA calculation of a relaxed structure of LaCoPt, from the Alexandria database.

Fermi-level density of states, states/eV/f.u.: 2.6
SG: No. 187
Electronic total energy, eV/atom: -6.6449
Calculated formation energy, meV/atom: -620
Size of the total moment, μB per atom: 0.035
V, A^3/atom: 21.06

Cell lengths 4.208, 4.208, 4.120 Å; angles 90.00, 90.00, 120.00 degrees
Atoms (fractional coordinates):
La  0.000  0.000  0.000
Co  0.333  0.667  0.500
Pt  0.667  0.333  0.500

=====

# 8
The following is a PBE-GGA calculation of a relaxed structure of K2Tl2Bi, from the Alexandria database.

Distance to the lowest polymorph of the same formula, kcal/mol of atoms: 0.07
Fermi-level density of states, states/eV/f.u.: 1.7
SG: No. 12
Electronic total energy, eV/atom: -2.3744
Calculated formation energy, meV/atom: -213
Size of the total moment, μB per atom: 0.000
V, A^3/atom: 40.34

Cell lengths 7.068, 7.068, 13.262 Å; angles 114.23, 114.23, 42.71 degrees
Atoms (fractional coordinates):
K  0.003  0.003  0.169
K  0.196  0.196  0.618
K  0.804  0.804  0.382
K  0.997  0.997  0.831
Tl  0.344  0.344  0.956
Tl  0.469  0.469  0.603
Tl  0.531  0.531  0.397
Tl  0.656  0.656  0.044
Bi  0.300  0.300  0.185
Bi  0.700  0.700  0.815

=====

# 9
The following is a PBE-GGA calculation of a relaxed structure of Zr4ScAs5, from the Alexandria database.

Fermi-level density of states, states/eV/f.u.: 4.5
SG: No. 71
Electronic total energy, eV/atom: -7.5314
Calculated formation energy, meV/atom: -1154
Size of the total moment, μB per atom: 0.000
V, A^3/atom: 20.53

Cell lengths 10.257, 10.257, 10.257 Å; angles 158.26, 149.05, 38.14 degrees
Atoms (fractional coordinates):
Zr  0.101  0.101  0.000
Zr  0.299  0.299  0.000
Zr  0.701  0.701  0.000
Zr  0.899  0.899  0.000
Sc  0.500  0.500  0.000
As  0.000  0.500  0.500
As  0.200  0.700  0.500
As  0.401  0.901  0.500
As  0.599  0.099  0.500
As  0.800  0.300  0.500

=====

# 10
The following is a PBE-GGA calculation of a relaxed structure of ZnAg2I, from the Alexandria database.

Distance to the lowest polymorph of the same formula, kcal/mol of atoms: 5.43
Fermi-level density of states, states/eV/f.u.: 1.5
SG: No. 225
Electronic total energy, eV/atom: -1.7694
Formation energy from raw total energies, eV/atom: 0.36
Size of the total moment, μB per atom: 0.000
V, A^3/atom: 23.29

Cell lengths 5.088, 5.088, 5.088 Å; angles 60.00, 60.00, 60.00 degrees
Atoms (fractional coordinates):
Zn  0.000  0.000  0.000
Ag  0.250  0.250  0.250
Ag  0.750  0.750  0.750
I  0.500  0.500  0.500

=====

Which value of V does entry 7 give? 21.06 A^3/atom

=====

The highest V belongs to which entry? K2Tl2Bi

=====

Which value of electronic total energy does entry 5 give? -4.5491 eV/atom

=====

Among the records above, which one has the highest size of the total moment? H2WSe